Entry 1:
Li2Cd2In2Ga | Alexandria | GGA-PBE | relaxed; ΔE_f = -0.14 eV per atom; space-group type = C2/m (12)
1.0
4.847 -2.151 0.000
4.847 2.151 0.000
-0.642 0.000 6.973
Li Cd In Ga
2 2 2 1
Direct
0.212 0.212 0.139
0.788 0.788 0.861
0.358 0.358 0.583
0.642 0.642 0.417
0.077 0.077 0.735
0.923 0.923 0.265
0.500 0.500 0.000


Entry 2:
LiCdInGa | Alexandria | GGA-PBE | relaxed; ΔE_f = -0.09 eV per atom; space-group type = F-43m (216); energy relative to the lowest polymorph listed for this composition = 6 meV/atom
1.0
0.000 3.474 3.474
3.474 0.000 3.474
3.474 3.474 0.000
Li Cd In Ga
1 1 1 1
Direct
0.000 0.000 0.000
0.250 0.250 0.250
0.750 0.750 0.750
0.500 0.500 0.500


Entry 3:
MgCdInGa | Alexandria | GGA-PBE | relaxed; ΔE_f = 0.01 eV per atom; space-group type = F-43m (216); energy relative to the lowest polymorph listed for this composition = 43 meV/atom
1.0
0.000 3.554 3.554
3.554 0.000 3.554
3.554 3.554 0.000
Mg Cd In Ga
1 1 1 1
Direct
0.000 0.000 0.000
0.250 0.250 0.250
0.500 0.500 0.500
0.750 0.750 0.750


Entry 4:
MgCdInGa | Alexandria | GGA-PBE | relaxed; ΔE_f = -0.04 eV per atom; space-group type = P4/nmm (129); energy relative to the lowest polymorph listed for this composition = 0 meV/atom
1.0
4.556 0.000 0.000
0.000 4.556 0.000
0.000 0.000 8.576
Mg Cd In Ga
2 2 2 2
Direct
0.250 0.250 0.229
0.750 0.750 0.771
0.250 0.250 0.774
0.750 0.750 0.226
0.250 0.750 0.500
0.750 0.250 0.500
0.250 0.750 0.000
0.750 0.250 0.000